1.
The following is a PBE calculation of a relaxed NaLuInAu crystal, from Alexandria.

a b c (Å): 5.057 5.057 5.057
angles (deg): 60.00 60.00 60.00
Element x y z (fractional)
In 0.750 0.750 0.750
Au 0.250 0.250 0.250
Lu 0.500 0.500 0.500
Na 0.000 0.000 0.000

Summary:
Energy of formation from the pure elements, eV/atom: -0.35
DOS(E_F), states/eV/f.u.: 2.46
M_tot, μB/f.u.: 0.0

2.
The following is a PBE calculation of a relaxed LuPaInAu crystal, from Alexandria.

a b c (Å): 5.188 5.188 5.188
angles (deg): 60.00 60.00 60.00
Each line ends with the local moment (μB).
Element x y z (fractional)
Pa 0.250 0.250 0.250  1.01
Lu 0.750 0.750 0.750  0.25
In 0.500 0.500 0.500  0.00
Au 0.000 0.000 0.000  0.05

Summary:
Energy of formation from the pure elements, eV/atom: -0.20
DOS(E_F), states/eV/f.u.: 8.14
M_tot, μB/f.u.: 1.7

3.
The following is a PBE calculation of a relaxed LuInPdAu crystal, from Alexandria.

a b c (Å): 4.820 4.820 4.820
angles (deg): 60.00 60.00 60.00
Element x y z (fractional)
In 0.250 0.250 0.250
Lu 0.750 0.750 0.750
Au 0.000 0.000 0.000
Pd 0.500 0.500 0.500

Summary:
Energy of formation from the pure elements, eV/atom: -0.75
DOS(E_F), states/eV/f.u.: 1.95
M_tot, μB/f.u.: 0.0

4.
The following is a PBE calculation of a relaxed PmLuInAu crystal, from Alexandria.

a b c (Å): 5.244 5.244 5.244
angles (deg): 60.00 60.00 60.00
Element x y z (fractional)
Lu 0.250 0.250 0.250
Pm 0.750 0.750 0.750
Au 0.000 0.000 0.000
In 0.500 0.500 0.500

Summary:
Energy of formation from the pure elements, eV/atom: -0.59
DOS(E_F), states/eV/f.u.: 2.94
M_tot, μB/f.u.: 0.0

One value per record, in order, for energy: -3.3127 -5.2124 -4.6846 -4.4092 eV/atom.